(1)
Density functional theory data (PBE) for a relaxed K2Ag2HgBr6 crystal.

POSCAR file:
```
K2Ag2HgBr6
1.0
-4.5607 -5.1458 -3.6816
8.1676 -0.5156 -1.1355
-2.6207 -2.4832 6.7172
K Ag Hg Br
2 2 1 6
Direct
0.7412 0.4825 0.1910
0.2588 0.5175 0.8090
0.9343 0.8685 0.7780
0.0657 0.1315 0.2220
0.5000 0.0000 0.5000
0.7310 0.4621 0.6095
0.1884 0.8701 0.1926
0.3183 0.1299 0.8074
0.8116 0.1299 0.8074
0.6817 0.8701 0.1926
0.2690 0.5379 0.3905
```

Properties
Crystal system: monoclinic

(2)
Density functional theory data (PBE) for a relaxed K3AgHg2Br9 crystal.

POSCAR file:
```
K3AgHg2Br9
1.0
7.8364 0.0000 0.0000
-3.9182 6.7865 0.0000
0.0000 0.0000 9.6257
K Ag Hg Br
3 1 2 9
Direct
0.3333 0.6667 0.6530
0.0000 0.0000 0.0000
0.6667 0.3333 0.3470
0.0000 0.0000 0.5000
0.3333 0.6667 0.1723
0.6667 0.3333 0.8277
0.8350 0.1650 0.6633
0.8350 0.6699 0.6633
0.3301 0.1650 0.6633
0.6699 0.8350 0.3367
0.1650 0.3301 0.3367
0.1650 0.8350 0.3367
0.5000 0.0000 0.0000
0.0000 0.5000 0.0000
0.5000 0.5000 0.0000
```

Properties
Crystal system: trigonal

(3)
Density functional theory data (PBE) for a relaxed K2AgHgBr5 crystal.

POSCAR file:
```
K2AgHgBr5
1.0
4.4243 0.0000 0.0000
-2.2121 9.5204 0.0000
0.0000 0.0000 14.0235
K Ag Hg Br
4 2 2 10
Direct
0.8676 0.7352 0.8105
0.1068 0.2135 0.6867
0.1324 0.2648 0.3105
0.8932 0.7865 0.1867
0.5489 0.0978 0.9382
0.4511 0.9022 0.4382
0.7837 0.5674 0.5232
0.2163 0.4326 0.0232
0.3588 0.7176 0.0044
0.6981 0.3962 0.8834
0.4932 0.9864 0.7684
0.2795 0.5590 0.6639
0.9312 0.8624 0.5452
0.6412 0.2824 0.5044
0.3019 0.6038 0.3834
0.5068 0.0136 0.2684
0.7205 0.4410 0.1639
0.0688 0.1376 0.0452
```

Properties
Crystal system: orthorhombic

(4)
Density functional theory data (PBE) for a relaxed KAgHgBr5 crystal.

POSCAR file:
```
KAgHgBr5
1.0
8.1329 -0.5140 -0.0577
-2.8657 7.6286 -0.0577
-2.2347 -3.0186 9.4212
K Ag Hg Br
2 2 2 10
Direct
0.3182 0.6818 0.2500
0.6818 0.3182 0.7500
0.0000 0.0000 0.5000
0.0000 0.0000 0.0000
0.6701 0.3299 0.2500
0.3299 0.6701 0.7500
0.0592 0.9408 0.2500
0.9408 0.0592 0.7500
0.8693 0.3172 0.0807
0.1307 0.6828 0.9193
0.6828 0.1307 0.4193
0.3172 0.8693 0.5807
0.7158 0.6580 0.4331
0.2842 0.3420 0.5669
0.3420 0.2842 0.0669
0.6580 0.7158 0.9331
```

Properties
Crystal system: monoclinic

(5)
Density functional theory data (PBE) for a relaxed KAgHg2Br6 crystal.

POSCAR file:
```
KAgHg2Br6
1.0
8.1443 0.0224 0.0232
2.6364 9.7247 0.2398
2.6364 -0.1207 9.7269
K Ag Hg Br
2 2 4 12
Direct
0.2500 0.8703 0.1297
0.7500 0.1297 0.8703
0.2500 0.2096 0.7904
0.7500 0.7904 0.2096
0.3085 0.7632 0.6189
0.1915 0.3811 0.2368
0.6915 0.2368 0.3811
0.8085 0.6189 0.7632
0.1624 0.9508 0.8171
0.3376 0.1830 0.0492
0.8376 0.0492 0.1830
0.6624 0.8171 0.9508
0.4371 0.8786 0.3790
0.0629 0.6210 0.1214
0.5629 0.1214 0.6210
0.9371 0.3790 0.8786
0.0301 0.7010 0.5486
0.4699 0.4514 0.2990
0.9699 0.2990 0.4514
0.5301 0.5486 0.7010
```

Properties
Crystal system: monoclinic

(6)
Density functional theory data (PBE) for a relaxed K3Ag2HgBr9 crystal.

POSCAR file:
```
K3Ag2HgBr9
1.0
7.7317 0.0000 0.0000
-3.8658 6.6958 0.0000
0.0000 0.0000 9.5001
K Ag Hg Br
3 2 1 9
Direct
0.3333 0.6667 0.6805
0.0000 0.0000 0.0000
0.6667 0.3333 0.3195
0.3333 0.6667 0.1616
0.6667 0.3333 0.8384
0.0000 0.0000 0.5000
0.8324 0.1676 0.6730
0.8324 0.6647 0.6730
0.3353 0.1676 0.6730
0.6647 0.8324 0.3270
0.1676 0.3353 0.3270
0.1676 0.8324 0.3270
0.5000 0.0000 0.0000
0.0000 0.5000 0.0000
0.5000 0.5000 0.0000
```

Properties
Crystal system: trigonal

Number 1: energy -2.49 eV/atom, uncorrected formation energy -9.2 eV per formula unit, calculated volume 34.1 Å³/atom. Number 2: energy -2.32 eV/atom, uncorrected formation energy -13.0 eV per formula unit, calculated volume 34.1 Å³/atom. Number 3: energy -2.52 eV/atom, uncorrected formation energy -8.9 eV per formula unit, calculated volume 32.8 Å³/atom. Number 4: energy -2.25 eV/atom, uncorrected formation energy -5.4 eV per formula unit, calculated volume 35.5 Å³/atom. Number 5: energy -2.13 eV/atom, uncorrected formation energy -6.7 eV per formula unit, calculated volume 38.5 Å³/atom. Number 6: energy -2.47 eV/atom, uncorrected formation energy -12.7 eV per formula unit, calculated volume 32.8 Å³/atom.